## LiFeSe2 (meta-GGA SCAN)

Data for a crystal of LiFeSe2 relaxed with PBEsol.

a = 2.965 Å, b = 3.861 Å, c = 6.129 Å
α = 90.00°, β = 90.00°, γ = 90.00°
Space group Pmm2 (No. 25)
Inequivalent atoms, fractional coordinates:
Li1 0.000 0.000 0.000
Fe1 0.500 0.500 0.694
Se1 0.000 0.000 0.575
Se2 0.500 0.500 0.091

Summary:
Energy ... -15.66 eV per atom
Uncorrected formation energy ... -0.50 eV per atom
V ... 17.5 Å³ per atom
Size of the total moment ... 0.934 μB/atom